A plane-wave DFT calculation with GGA+U was carried out for an optimized crystal structure of SmNpNiO6.

Unit cell a=5.3249 b=5.3249 c=10.2219 alpha=90.00 beta=90.00 gamma=120.00
Space group P-31c (No. 163)
Inequivalent atoms, fractional coordinates:
Sm 0.0000 0.0000 0.0000 [2 per cell]
Np 0.3333 0.6667 0.2500 [2 per cell]
Ni 0.3333 0.6667 0.7500 [2 per cell]
O 0.0092 0.3584 0.1396 [12 per cell]

Calculated values
VASP energy: -144.8 eV/cell